VASP calculation (GGA-PBE) on crystalline TlSnAu at its relaxed geometry.

extended XYZ file:
```
12
Lattice="-6.727 -3.080 -9.586 -3.954 -2.837 3.686 -2.205 3.586 0.395" Properties=species:S:1:pos:R:3 pbc="T T T"
Tl 0.000 0.000 0.000
Tl -6.443 -1.166 -2.752
Tl -4.466 0.253 -4.595
Tl -1.977 -1.419 1.843
Au -7.615 0.852 -4.985
Au -9.735 -2.930 -5.115
Au -5.270 -3.183 -0.520
Au -3.150 0.599 -0.390
Sn -3.063 -1.658 -2.034
Sn -5.357 -0.924 1.125
Sn -9.822 -0.673 -3.471
Sn -7.528 -1.407 -6.630
```

**DFT formation energy**: -0.06 eV per formula unit
**Size of the total moment**: 0.00 μB per cell
**Fermi-level density of states**: 1.429 states/eV/f.u.